(1)
The following is a PBE calculation of Mn2GeN after structural relaxation, from Alexandria.

Computed properties:
Raw formation energy, eV per atom: -0.145
Crystal system: trigonal
Total moment, μB/atom: 0.52
Space-group type: R-3m

a = 2.8608 Å, b = 2.8608 Å, c = 18.3057 Å
α = 90.00°, β = 90.00°, γ = 120.00°
Closest atoms and distances in Å follow each position.
Fractional coordinates of all 12 atoms:
Mn (0.0000, 0.0000, 0.2238)  3 N 1.96
Mn (0.0000, 0.0000, 0.7762)  3 N 1.96
Mn (0.3333, 0.6667, 0.4429)  3 N 1.96
Mn (0.3333, 0.6667, 0.8905)  3 N 1.96
Mn (0.6667, 0.3333, 0.1095)  3 N 1.96
Mn (0.6667, 0.3333, 0.5571)  3 N 1.96
Ge (0.0000, 0.0000, 0.0000)  6 Mn 2.60, 6 Ge 2.86
Ge (0.3333, 0.6667, 0.6667)  6 Mn 2.60, 6 Ge 2.86
Ge (0.6667, 0.3333, 0.3333)  6 Mn 2.60, 6 Ge 2.86
N (0.0000, 0.0000, 0.5000)  6 Mn 1.96
N (0.3333, 0.6667, 0.1667)  6 Mn 1.96
N (0.6667, 0.3333, 0.8333)  6 Mn 1.96

=====

(2)
The following is a PBE calculation of RePd after structural relaxation, from Alexandria.

Computed properties:
E_form, eV per atom: 0.380
ΔE to the lowest computed polymorph, eV/f.u.: 0.632
Crystal system: tetragonal
Total moment, μB/atom: 0.00
Space-group type: P4/m

a = 9.8321 Å, b = 9.8321 Å, c = 2.7415 Å
α = 90.00°, β = 90.00°, γ = 90.00°
Closest atoms and distances in Å follow each position.
Fractional coordinates of all 16 atoms:
Re (0.0821, 0.3928, 0.0000)  7 Re 2.64-2.74, 3 Pd 2.73-2.79
Re (0.1472, 0.6128, 0.5000)  4 Pd 2.64-2.68, 6 Re 2.64-2.74
Re (0.3872, 0.1472, 0.5000)  4 Pd 2.64-2.68, 6 Re 2.64-2.74
Re (0.3928, 0.9179, 0.0000)  7 Re 2.64-2.74, 3 Pd 2.73-2.79
Re (0.6072, 0.0821, 0.0000)  7 Re 2.64-2.74, 3 Pd 2.73-2.79
Re (0.6128, 0.8528, 0.5000)  4 Pd 2.64-2.68, 6 Re 2.64-2.74
Re (0.8528, 0.3872, 0.5000)  4 Pd 2.64-2.68, 6 Re 2.64-2.74
Re (0.9179, 0.6072, 0.0000)  7 Re 2.64-2.74, 3 Pd 2.73-2.79
Pd (0.1252, 0.8452, 0.0000)  3 Re 2.67-2.73, 4 Pd 2.74-2.77
Pd (0.1548, 0.1252, 0.0000)  3 Re 2.67-2.73, 4 Pd 2.74-2.77
Pd (0.3283, 0.4088, 0.5000)  4 Re 2.64-2.79, 4 Pd 2.70-2.74
Pd (0.4088, 0.6717, 0.5000)  4 Re 2.64-2.79, 4 Pd 2.70-2.74
Pd (0.5912, 0.3283, 0.5000)  4 Re 2.64-2.79, 4 Pd 2.70-2.74
Pd (0.6717, 0.5912, 0.5000)  4 Re 2.64-2.79, 4 Pd 2.70-2.74
Pd (0.8452, 0.8748, 0.0000)  3 Re 2.67-2.73, 4 Pd 2.74-2.77
Pd (0.8748, 0.1548, 0.0000)  3 Re 2.67-2.73, 4 Pd 2.74-2.77

=====

(3)
The following is a PBE calculation of VPdPb2 after structural relaxation, from Alexandria.

Computed properties:
E_form, eV per atom: 0.423
ΔE to the lowest computed polymorph, eV/f.u.: 0.747
Crystal system: tetragonal
Total moment, μB/atom: 0.70
Space-group type: I-42d

a = 7.6745 Å, b = 7.6745 Å, c = 6.2773 Å
α = 90.00°, β = 90.00°, γ = 90.00°
Closest atoms and distances in Å follow each position.
Fractional coordinates of all 16 atoms:
V (0.0000, 0.0000, 0.0000)  4 Pb 2.90, 2 Pd 3.14
V (0.0000, 0.5000, 0.2500)  4 Pb 2.90, 2 Pd 3.14
V (0.5000, 0.0000, 0.7500)  4 Pb 2.90, 2 Pd 3.14
V (0.5000, 0.5000, 0.5000)  4 Pb 2.90, 2 Pd 3.14
Pd (0.0000, 0.0000, 0.5000)  4 Pb 2.75
Pd (0.0000, 0.5000, 0.7500)  4 Pb 2.75
Pd (0.5000, 0.0000, 0.2500)  4 Pb 2.75
Pd (0.5000, 0.5000, 0.0000)  4 Pb 2.75
Pb (0.2361, 0.7500, 0.6250)  2 Pd 2.75, 2 V 2.90
Pb (0.2500, 0.2361, 0.3750)  2 Pd 2.75, 2 V 2.90
Pb (0.2500, 0.2639, 0.8750)  2 Pd 2.75, 2 V 2.90
Pb (0.2639, 0.7500, 0.1250)  2 Pd 2.75, 2 V 2.90
Pb (0.7361, 0.2500, 0.1250)  2 Pd 2.75, 2 V 2.90
Pb (0.7500, 0.7361, 0.8750)  2 Pd 2.75, 2 V 2.90
Pb (0.7500, 0.7639, 0.3750)  2 Pd 2.75, 2 V 2.90
Pb (0.7639, 0.2500, 0.6250)  2 Pd 2.75, 2 V 2.90

=====

(4)
The following is a PBE calculation of ThMgCoIr after structural relaxation, from Alexandria.

Computed properties:
E_form, eV per atom: -0.338
Crystal system: cubic
Total moment, μB/atom: 0.12
Space-group type: F-43m

a = 6.7027 Å, b = 6.7027 Å, c = 6.7027 Å
α = 90.00°, β = 90.00°, γ = 90.00°
Closest atoms and distances in Å follow each position.
Fractional coordinates of all 16 atoms:
Th (0.0000, 0.0000, 0.0000)  4 Co 2.90, 4 Ir 2.90
Th (0.0000, 0.5000, 0.5000)  4 Co 2.90, 4 Ir 2.90
Th (0.5000, 0.0000, 0.5000)  4 Co 2.90, 4 Ir 2.90
Th (0.5000, 0.5000, 0.0000)  4 Co 2.90, 4 Ir 2.90
Mg (0.0000, 0.0000, 0.5000)  4 Co 2.90, 4 Ir 2.90
Mg (0.0000, 0.5000, 0.0000)  4 Co 2.90, 4 Ir 2.90
Mg (0.5000, 0.0000, 0.0000)  4 Co 2.90, 4 Ir 2.90
Mg (0.5000, 0.5000, 0.5000)  4 Co 2.90, 4 Ir 2.90
Co (0.2500, 0.2500, 0.2500)  4 Th 2.90, 4 Mg 2.90
Co (0.2500, 0.7500, 0.7500)  4 Th 2.90, 4 Mg 2.90
Co (0.7500, 0.2500, 0.7500)  4 Th 2.90, 4 Mg 2.90
Co (0.7500, 0.7500, 0.2500)  4 Th 2.90, 4 Mg 2.90
Ir (0.2500, 0.2500, 0.7500)  4 Th 2.90, 4 Mg 2.90
Ir (0.2500, 0.7500, 0.2500)  4 Th 2.90, 4 Mg 2.90
Ir (0.7500, 0.2500, 0.2500)  4 Th 2.90, 4 Mg 2.90
Ir (0.7500, 0.7500, 0.7500)  4 Th 2.90, 4 Mg 2.90

=====

(5)
The following is a PBE calculation of NaIn14Pb after structural relaxation, from Alexandria.

Computed properties:
E_form, eV per atom: -0.007
Crystal system: tetragonal
Total moment, μB/atom: 0.00
Space-group type: P4/mmm

a = 7.1240 Å, b = 7.1240 Å, c = 8.6018 Å
α = 90.00°, β = 90.00°, γ = 90.00°
Closest atoms and distances in Å follow each position.
Fractional coordinates of all 16 atoms:
Na (0.0000, 0.0000, 0.0000)  12 In 3.32-3.56
In (0.0000, 0.0000, 0.5000)  12 In 3.28-3.56
In (0.0000, 0.5000, 0.0000)  8 In 3.33, 2 Pb 3.56, 2 Na 3.56
In (0.0000, 0.5000, 0.5000)  12 In 3.29-3.56
In (0.2485, 0.2485, 0.2541)  10 In 3.28-3.58, 1 Na 3.32, 1 Pb 3.35
In (0.2485, 0.2485, 0.7459)  10 In 3.28-3.58, 1 Na 3.32, 1 Pb 3.35
In (0.2485, 0.7515, 0.2541)  10 In 3.28-3.58, 1 Na 3.32, 1 Pb 3.35
In (0.2485, 0.7515, 0.7459)  10 In 3.28-3.58, 1 Na 3.32, 1 Pb 3.35
In (0.5000, 0.0000, 0.0000)  8 In 3.33, 2 Pb 3.56, 2 Na 3.56
In (0.5000, 0.0000, 0.5000)  12 In 3.29-3.56
In (0.5000, 0.5000, 0.5000)  12 In 3.30-3.56
In (0.7515, 0.2485, 0.2541)  10 In 3.28-3.58, 1 Na 3.32, 1 Pb 3.35
In (0.7515, 0.2485, 0.7459)  10 In 3.28-3.58, 1 Na 3.32, 1 Pb 3.35
In (0.7515, 0.7515, 0.2541)  10 In 3.28-3.58, 1 Na 3.32, 1 Pb 3.35
In (0.7515, 0.7515, 0.7459)  10 In 3.28-3.58, 1 Na 3.32, 1 Pb 3.35
Pb (0.5000, 0.5000, 0.0000)  12 In 3.35-3.56

=====

(6)
The following is a PBE calculation of NpAsH2 after structural relaxation, from Alexandria.

Computed properties:
ΔE to the lowest computed polymorph, eV/f.u.: 0.093
Crystal system: trigonal
Total moment, μB/atom: 0.52
Space-group type: R-3m

a = 3.6804 Å, b = 3.6804 Å, c = 12.2189 Å
α = 90.00°, β = 90.00°, γ = 120.00°
Closest atoms and distances in Å follow each position.
Fractional coordinates of all 12 atoms:
Np (0.0000, 0.0000, 0.0000)  6 H 2.17
Np (0.3333, 0.6667, 0.6667)  6 H 2.17
Np (0.6667, 0.3333, 0.3333)  6 H 2.17
As (0.0000, 0.0000, 0.5000)  8 H 2.48-2.66
As (0.3333, 0.6667, 0.1667)  8 H 2.48-2.66
As (0.6667, 0.3333, 0.8333)  8 H 2.48-2.66
H (0.0000, 0.0000, 0.2972)  3 Np 2.17, 3 H 2.30
H (0.0000, 0.0000, 0.7028)  3 Np 2.17, 3 H 2.30
H (0.3333, 0.6667, 0.3695)  3 Np 2.17, 3 H 2.30
H (0.3333, 0.6667, 0.9638)  3 Np 2.17, 3 H 2.30
H (0.6667, 0.3333, 0.0362)  3 Np 2.17, 3 H 2.30
H (0.6667, 0.3333, 0.6305)  3 Np 2.17, 3 H 2.30

=====

(7)
The following is a PBE calculation of Li8Sb2Pb after structural relaxation, from Alexandria.

Computed properties:
Raw formation energy, eV per atom: -0.494
Crystal system: monoclinic
Total moment, μB/atom: 0.00
Space-group type: C2/m

a = 7.4404 Å, b = 7.4404 Å, c = 7.6032 Å
α = 120.05°, β = 120.05°, γ = 36.63°
Closest atoms and distances in Å follow each position.
Fractional coordinates of all 11 atoms:
Li (0.0135, 0.0135, 0.3061)  6 Li 2.76-3.06, 2 Sb 2.82-2.94
Li (0.1533, 0.1533, 0.1068)  3 Li 2.69-2.89, 2 Sb 2.94, 2 Pb 2.99
Li (0.3323, 0.3323, 0.5357)  3 Sb 2.83-2.89, 6 Li 2.89-3.14, 1 Pb 3.04
Li (0.3568, 0.3568, 0.1579)  3 Li 2.69-3.00, 3 Sb 2.81-2.90, 1 Pb 2.85
Li (0.6432, 0.6432, 0.8421)  3 Li 2.69-3.00, 3 Sb 2.81-2.90, 1 Pb 2.85
Li (0.6677, 0.6677, 0.4643)  3 Sb 2.83-2.89, 6 Li 2.89-3.14, 1 Pb 3.04
Li (0.8467, 0.8467, 0.8932)  3 Li 2.69-2.89, 2 Sb 2.94, 2 Pb 2.99
Li (0.9865, 0.9865, 0.6939)  6 Li 2.76-3.06, 2 Sb 2.82-2.94
Sb (0.1998, 0.1998, 0.7136)  10 Li 2.81-2.94
Sb (0.8002, 0.8002, 0.2864)  10 Li 2.81-2.94
Pb (0.5000, 0.5000, 0.0000)  8 Li 2.85-3.04

=====

(8)
The following is a PBE calculation of BaLi2Mn after structural relaxation, from Alexandria.

Computed properties:
E_form, eV per atom: 0.434
ΔE to the lowest computed polymorph, eV/f.u.: 0.280
Crystal system: orthorhombic
Total moment, μB/atom: 0.95
Space-group type: Imm2

a = 4.4734 Å, b = 5.5591 Å, c = 9.0398 Å
α = 90.00°, β = 90.00°, γ = 90.00°
Closest atoms and distances in Å follow each position.
Fractional coordinates of all 8 atoms:
Ba (0.0000, 0.0000, 0.0000)  8 Li 3.38-3.57, 4 Mn 3.39-3.41
Ba (0.5000, 0.5000, 0.5000)  8 Li 3.38-3.57, 4 Mn 3.39-3.41
Li (0.0000, 0.0000, 0.4805)  2 Mn 2.87, 2 Li 3.07
Li (0.0000, 0.5000, 0.2126)  2 Li 3.07, 4 Ba 3.38-3.43
Li (0.5000, 0.0000, 0.7126)  2 Li 3.07, 4 Ba 3.38-3.43
Li (0.5000, 0.5000, 0.9805)  2 Mn 2.87, 2 Li 3.07
Mn (0.0000, 0.5000, 0.7811)  2 Li 2.87
Mn (0.5000, 0.0000, 0.2811)  2 Li 2.87

=====

(9)
The following is a PBE calculation of NdZn2Sn after structural relaxation, from Alexandria.

Computed properties:
E_form, eV per atom: -0.179
ΔE to the lowest computed polymorph, eV/f.u.: 0.815
Crystal system: orthorhombic
Total moment, μB/atom: 0.00
Space-group type: Amm2

a = 3.4737 Å, b = 6.6783 Å, c = 8.2396 Å
α = 90.00°, β = 90.00°, γ = 90.00°
Closest atoms and distances in Å follow each position.
Fractional coordinates of all 8 atoms:
Nd (0.0000, 0.0000, 0.0000)  8 Zn 3.20-3.26, 2 Nd 3.47
Nd (0.0000, 0.5000, 0.5000)  8 Zn 3.20-3.26, 2 Nd 3.47
Zn (0.5000, 0.1802, 0.6982)  1 Zn 2.41, 1 Sn 2.66
Zn (0.5000, 0.3198, 0.1982)  1 Zn 2.41, 1 Sn 2.66
Zn (0.5000, 0.6802, 0.1982)  1 Zn 2.41, 1 Sn 2.66
Zn (0.5000, 0.8198, 0.6982)  1 Zn 2.41, 1 Sn 2.66
Sn (0.5000, 0.0000, 0.3915)  4 Zn 2.66-2.80
Sn (0.5000, 0.5000, 0.8915)  4 Zn 2.66-2.80

=====

(10)
The following is a PBE calculation of NaHgGeAu after structural relaxation, from Alexandria.

Computed properties:
E_form, eV per atom: -0.055
ΔE to the lowest computed polymorph, eV/f.u.: 0.108
Crystal system: cubic
Total moment, μB/atom: 0.00
Space-group type: F-43m

a = 6.9191 Å, b = 6.9191 Å, c = 6.9191 Å
α = 90.00°, β = 90.00°, γ = 90.00°
Closest atoms and distances in Å follow each position.
Fractional coordinates of all 16 atoms:
Na (0.0000, 0.0000, 0.0000)  4 Hg 3.00, 4 Au 3.00
Na (0.0000, 0.5000, 0.5000)  4 Hg 3.00, 4 Au 3.00
Na (0.5000, 0.0000, 0.5000)  4 Hg 3.00, 4 Au 3.00
Na (0.5000, 0.5000, 0.0000)  4 Hg 3.00, 4 Au 3.00
Hg (0.2500, 0.2500, 0.7500)  4 Ge 3.00, 4 Na 3.00
Hg (0.2500, 0.7500, 0.2500)  4 Ge 3.00, 4 Na 3.00
Hg (0.7500, 0.2500, 0.2500)  4 Ge 3.00, 4 Na 3.00
Hg (0.7500, 0.7500, 0.7500)  4 Ge 3.00, 4 Na 3.00
Ge (0.0000, 0.0000, 0.5000)  4 Au 3.00, 4 Hg 3.00
Ge (0.0000, 0.5000, 0.0000)  4 Au 3.00, 4 Hg 3.00
Ge (0.5000, 0.0000, 0.0000)  4 Au 3.00, 4 Hg 3.00
Ge (0.5000, 0.5000, 0.5000)  4 Au 3.00, 4 Hg 3.00
Au (0.2500, 0.2500, 0.2500)  4 Na 3.00, 4 Ge 3.00
Au (0.2500, 0.7500, 0.7500)  4 Na 3.00, 4 Ge 3.00
Au (0.7500, 0.2500, 0.7500)  4 Na 3.00, 4 Ge 3.00
Au (0.7500, 0.7500, 0.2500)  4 Na 3.00, 4 Ge 3.00

=====

(11)
The following is a PBE calculation of Nd8Y4Ho3 after structural relaxation, from Alexandria.

Computed properties:
E_form, eV per atom: 0.332
Crystal system: monoclinic
Total moment, μB/atom: 0.00
Space-group type: C2/m

a = 9.2198 Å, b = 9.2198 Å, c = 6.9386 Å
α = 110.84°, β = 110.84°, γ = 82.87°
Closest atoms and distances in Å follow each position.
Fractional coordinates of all 15 atoms:
Nd (0.2023, 0.2023, 0.1791)  4 Nd 3.43-3.62, 3 Y 3.47-3.63, 2 Ho 3.65
Nd (0.2044, 0.7956, 0.0000)  3 Y 3.50-3.61, 4 Nd 3.51-3.52, 2 Ho 3.59
Nd (0.2522, 0.7478, 0.5000)  1 Y 3.02, 1 Ho 3.08
Nd (0.2543, 0.2543, 0.7142)  1 Y 3.01, 1 Ho 3.10
Nd (0.7457, 0.7457, 0.2858)  1 Y 3.01, 1 Ho 3.10
Nd (0.7478, 0.2522, 0.5000)  1 Y 3.02, 1 Ho 3.08
Nd (0.7956, 0.2044, 0.0000)  3 Y 3.50-3.61, 4 Nd 3.51-3.52, 2 Ho 3.59
Nd (0.7977, 0.7977, 0.8209)  4 Nd 3.43-3.62, 3 Y 3.47-3.63, 2 Ho 3.65
Y (0.0000, 0.5000, 0.0000)  2 Ho 3.47, 8 Nd 3.47-3.65
Y (0.5000, 0.0000, 0.0000)  2 Ho 3.47, 8 Nd 3.47-3.65
Y (0.5000, 0.5000, 0.0000)  2 Nd 3.01
Y (0.5000, 0.5000, 0.5000)  2 Nd 3.02
Ho (0.0000, 0.0000, 0.5000)  4 Nd 3.08-3.10
Ho (0.0000, 0.5000, 0.5000)  8 Nd 3.38-3.65, 2 Y 3.47
Ho (0.5000, 0.0000, 0.5000)  8 Nd 3.38-3.65, 2 Y 3.47

=====

(12)
The following is a PBE calculation of AlSn2O4 after structural relaxation, from Alexandria.

Computed properties:
Raw formation energy, eV per atom: -1.490
ΔE to the lowest computed polymorph, eV/f.u.: 0.776
Crystal system: monoclinic
Total moment, μB/atom: 0.00
Space-group type: C2/c

a = 7.1250 Å, b = 7.1250 Å, c = 5.6227 Å
α = 113.13°, β = 113.13°, γ = 111.18°
Closest atoms and distances in Å follow each position.
Fractional coordinates of all 14 atoms:
Al (0.1343, 0.8657, 0.7500)  4 O 1.85
Al (0.8657, 0.1343, 0.2500)  4 O 1.85
Sn (0.0000, 0.5000, 0.0000)  4 O 2.09-2.19
Sn (0.5000, 0.0000, 0.5000)  4 O 2.09-2.19
Sn (0.5000, 0.5000, 0.0000)  4 O 2.20-2.30
Sn (0.5000, 0.5000, 0.5000)  4 O 2.20-2.30
O (0.0804, 0.2937, 0.1768)  1 Al 1.85
O (0.1061, 0.4119, 0.6971)  1 Al 1.85
O (0.2937, 0.0804, 0.6768)  1 Al 1.85
O (0.4119, 0.1061, 0.1971)  1 Al 1.85
O (0.5881, 0.8939, 0.8029)  1 Al 1.85
O (0.7063, 0.9196, 0.3232)  1 Al 1.85
O (0.8939, 0.5881, 0.3029)  1 Al 1.85
O (0.9196, 0.7063, 0.8232)  1 Al 1.85